DFT (PBE) results for a geometry-optimized Sc2InGa structure.

**Magnetic moment**: 0.00 μB per formula unit
**Raw total energy**: -20.4 eV for the cell shown
**DOS at the Fermi energy**: 2.773 states/eV/cell
**V**: 20.704 Å³/atom
**Density**: 5.5 Mg/m³
**Energy above the lowest structure with this stoichiometry**: 0.0 meV per atom
**ΔE_f**: -503.1 meV/atom

Lattice parameters (Å, degrees): 3.232 3.232 7.927 90.00 90.00 90.00
Space group P4/mmm (No. 123)
Unique sites:
Sc  0.000  0.000  0.230 (multiplicity 2)
In  0.500  0.500  0.500 (multiplicity 1)
Ga  0.500  0.500  0.000 (multiplicity 1)